# Er2InPd6 | Alexandria | PBE | optimized geometry
data_Er2InPd6
_symmetry_space_group_name_H-M 'C m m m'
_symmetry_Int_Tables_number 65
_symmetry_space_group_name_Hall '-C 2 2'
_cell_length_a 7.349
_cell_length_b 14.307
_cell_length_c 3.305
_cell_angle_alpha 90.00
_cell_angle_beta 90.00
_cell_angle_gamma 90.00
loop_
_atom_site_label
_atom_site_type_symbol
_atom_site_fract_x
_atom_site_fract_y
_atom_site_fract_z
Er1 Er 0.000 0.191 0.000
In1 In 0.000 0.500 0.500
Pd1 Pd 0.193 0.000 0.000
Pd2 Pd 0.196 0.341 0.500
# Size of the total moment, μB per cell: 0.00
# Energy of formation from the pure elements, kJ/mol of atoms: -58.0
# Theoretical density, g/cm3: 10.396